No. 1
{
  "formula": "Sc2BBr",
  "functional": "meta-GGA SCAN",
  "state": "PBEsol geometry",
  "lattice_angstrom": [[5.7946, 0.0000, 0.0000], [0.0000, 5.7946, 0.0000], [-2.8973, -2.8973, 5.4480]],
  "species": ["Sc", "Sc", "Sc", "Sc", "B", "B", "Br", "Br"],
  "fractional_positions": [[0.4529, 0.8750, 0.2500], [0.7971, 0.3750, 0.2500], [0.1250, 0.2029, 0.7500], [0.6250, 0.5471, 0.7500], [0.7500, 0.2500, 0.5000], [0.5000, 0.5000, 0.0000], [0.2500, 0.7500, 0.5000], [0.0000, 0.0000, 0.0000]],
  "crystal_system": "tetragonal",
  "m_tot_mub_per_atom": 0.000,
  "raw_formation_energy_ev_per_atom": -0.435
}

No. 2
{
  "formula": "CaMgAu2",
  "functional": "meta-GGA SCAN",
  "state": "PBEsol geometry",
  "lattice_angstrom": [[3.4195, 0.0000, 0.0000], [0.0000, 4.8566, 0.0000], [0.0000, 0.0000, 4.8566]],
  "species": ["Ca", "Au", "Au", "Mg"],
  "fractional_positions": [[0.5000, 0.5000, 0.5000], [0.0000, 0.0000, 0.5000], [0.0000, 0.5000, 0.0000], [0.5000, 0.0000, 0.0000]],
  "crystal_system": "tetragonal",
  "m_tot_mub_per_atom": 0.000,
  "delta_e_f_ev_per_atom": -0.78
}

No. 3
{
  "formula": "Be2ZnCrSb",
  "functional": "meta-GGA SCAN",
  "state": "PBEsol geometry",
  "lattice_angstrom": [[-1.2406, 3.8543, -1.2055], [-4.0224, -1.2916, 0.0099], [-0.3888, 1.2444, 4.3786]],
  "species": ["Sb", "Zn", "Be", "Be", "Cr"],
  "fractional_positions": [[0.5000, 0.5000, 0.5000], [0.0000, 0.0000, 0.5000], [0.0000, 0.5000, 0.0000], [0.5000, 0.0000, 0.0000], [0.0000, 0.0000, 0.0000]],
  "crystal_system": "tetragonal",
  "m_tot_mub_per_atom": 0.000,
  "raw_formation_energy_ev_per_atom": 1.109
}

No. 4
{
  "formula": "FePOsCl2",
  "functional": "meta-GGA SCAN",
  "state": "PBEsol geometry",
  "lattice_angstrom": [[4.4747, 0.0000, 0.0000], [0.0000, 4.8027, 0.0000], [0.0000, 0.0000, 4.8027]],
  "species": ["P", "Os", "Fe", "Cl", "Cl"],
  "fractional_positions": [[0.5000, 0.0000, 0.0000], [0.0000, 0.0000, 0.0000], [0.5000, 0.5000, 0.5000], [0.0000, 0.0000, 0.5000], [0.0000, 0.5000, 0.0000]],
  "crystal_system": "tetragonal",
  "m_tot_mub_per_atom": 0.786,
  "raw_formation_energy_ev_per_atom": 0.722
}

No. 5
{
  "formula": "K2RbBr",
  "functional": "meta-GGA SCAN",
  "state": "PBEsol geometry",
  "lattice_angstrom": [[-5.7312, 1.3544, -3.2107], [-5.3431, -3.9626, 0.8596], [-5.3161, 2.2345, 3.4258]],
  "species": ["K", "K", "Br", "Rb"],
  "fractional_positions": [[0.2500, 0.2500, 0.2500], [0.7500, 0.7500, 0.7500], [0.0000, 0.0000, 0.0000], [0.5000, 0.5000, 0.5000]],
  "crystal_system": "cubic",
  "m_tot_mub_per_atom": 0.000,
  "raw_formation_energy_ev_per_atom": -0.513
}

No. 6
{
  "formula": "NdSBr",
  "functional": "meta-GGA SCAN",
  "state": "PBEsol geometry",
  "lattice_angstrom": [[-5.8781, -0.3448, -3.5860], [-2.5202, -0.1588, 6.4543], [-0.4168, 7.0066, 0.0096]],
  "species": ["Nd", "Nd", "Nd", "Nd", "S", "S", "S", "S", "Br", "Br", "Br", "Br"],
  "fractional_positions": [[0.2903, 0.6810, 0.9632], [0.2097, 0.3190, 0.4632], [0.7097, 0.3190, 0.0368], [0.7903, 0.6810, 0.5368], [0.0089, 0.5557, 0.2411], [0.5089, 0.5557, 0.2589], [0.9911, 0.4443, 0.7589], [0.4911, 0.4443, 0.7411], [0.7941, 0.0828, 0.3797], [0.2941, 0.0828, 0.1203], [0.2059, 0.9172, 0.6203], [0.7059, 0.9172, 0.8797]],
  "crystal_system": "monoclinic",
  "m_tot_mub_per_atom": 0.000,
  "raw_formation_energy_ev_per_atom": -2.288
}

No. 7
{
  "formula": "CaNi3Ag",
  "functional": "meta-GGA SCAN",
  "state": "PBEsol geometry",
  "lattice_angstrom": [[4.5949, 0.0000, 0.0000], [0.0000, 4.5949, 0.0000], [0.0000, 0.0000, 4.5949]],
  "species": ["Ni", "Ni", "Ni", "Ca", "Ag"],
  "fractional_positions": [[0.0000, 0.5000, 0.0000], [0.0000, 0.0000, 0.5000], [0.5000, 0.0000, 0.0000], [0.5000, 0.5000, 0.5000], [0.0000, 0.0000, 0.0000]],
  "crystal_system": "cubic",
  "m_tot_mub_per_atom": 0.478,
  "delta_e_f_ev_per_atom": 0.87
}

No. 8
{
  "formula": "ScTaSe2",
  "functional": "meta-GGA SCAN",
  "state": "PBEsol geometry",
  "lattice_angstrom": [[3.4199, 0.0000, 0.0000], [1.7100, 2.9617, 0.0000], [1.7100, 0.9872, 7.3110]],
  "species": ["Sc", "Se", "Se", "Ta"],
  "fractional_positions": [[0.0000, 0.0000, 0.0000], [0.2473, 0.2473, 0.2581], [0.7527, 0.7527, 0.7419], [0.5000, 0.5000, 0.5000]],
  "crystal_system": "trigonal",
  "m_tot_mub_per_atom": 0.000,
  "raw_formation_energy_ev_per_atom": -0.664
}

No. 9
{
  "formula": "GdH18I3O9",
  "functional": "meta-GGA SCAN",
  "state": "PBEsol geometry",
  "lattice_angstrom": [[7.6731, 0.0000, 0.0000], [0.0000, 9.0210, 0.0000], [0.0000, 0.0000, 11.2336]],
  "species": ["Gd", "Gd", "H", "H", "H", "H", "H", "H", "H", "H", "H", "H", "H", "H", "H", "H", "H", "H", "H", "H", "H", "H", "H", "H", "H", "H", "H", "H", "H", "H", "H", "H", "H", "H", "H", "H", "H", "H", "I", "I", "I", "I", "I", "I", "O", "O", "O", "O", "O", "O", "O", "O", "O", "O", "O", "O", "O", "O", "O", "O", "O", "O"],
  "fractional_positions": [[0.0000, 0.6646, 0.5000], [0.5000, 0.3354, 0.0000], [0.2929, 0.4847, 0.3975], [0.2929, 0.4847, 0.6025], [0.7071, 0.4847, 0.3975], [0.7071, 0.4847, 0.6025], [0.2071, 0.5153, 0.1025], [0.2071, 0.5153, 0.8975], [0.7929, 0.5153, 0.1025], [0.7929, 0.5153, 0.8975], [0.2937, 0.6344, 0.3233], [0.2937, 0.6344, 0.6767], [0.7063, 0.6344, 0.3233], [0.7063, 0.6344, 0.6767], [0.2063, 0.3656, 0.1767], [0.2063, 0.3656, 0.8233], [0.7937, 0.3656, 0.1767], [0.7937, 0.3656, 0.8233], [0.0000, 0.3273, 0.5709], [0.0000, 0.3273, 0.4291], [0.5000, 0.6727, 0.9291], [0.5000, 0.6727, 0.0709], [0.7078, 0.8708, 0.5706], [0.7078, 0.8708, 0.4294], [0.2922, 0.8708, 0.5706], [0.2922, 0.8708, 0.4294], [0.7922, 0.1292, 0.9294], [0.7922, 0.1292, 0.0706], [0.2078, 0.1292, 0.9294], [0.2078, 0.1292, 0.0706], [0.0000, 0.9059, 0.3013], [0.0000, 0.9059, 0.6987], [0.5000, 0.0941, 0.1987], [0.5000, 0.0941, 0.8013], [0.0000, 0.7561, 0.2284], [0.0000, 0.7561, 0.7716], [0.5000, 0.2439, 0.2716], [0.5000, 0.2439, 0.7284], [0.5000, 0.8315, 0.2537], [0.5000, 0.8315, 0.7463], [0.0000, 0.1685, 0.2463], [0.0000, 0.1685, 0.7537], [0.0000, 0.6934, 0.0000], [0.5000, 0.3066, 0.5000], [0.2168, 0.5656, 0.3680], [0.2168, 0.5656, 0.6320], [0.7832, 0.5656, 0.3680], [0.7832, 0.5656, 0.6320], [0.2832, 0.4344, 0.1320], [0.2832, 0.4344, 0.8680], [0.7168, 0.4344, 0.1320], [0.7168, 0.4344, 0.8680], [0.0000, 0.3925, 0.5000], [0.5000, 0.6075, 0.0000], [0.7844, 0.8615, 0.5000], [0.2156, 0.8615, 0.5000], [0.7156, 0.1385, 0.0000], [0.2844, 0.1385, 0.0000], [0.0000, 0.7964, 0.3101], [0.0000, 0.7964, 0.6899], [0.5000, 0.2036, 0.1899], [0.5000, 0.2036, 0.8101]],
  "crystal_system": "orthorhombic",
  "m_tot_mub_per_atom": 0.221,
  "e_tot_ev_per_atom": -10.426
}

No. 10
{
  "formula": "SmSiAg",
  "functional": "meta-GGA SCAN",
  "state": "PBEsol geometry",
  "lattice_angstrom": [[4.2275, 0.0000, 0.0000], [0.0000, 7.0305, 0.0000], [0.0000, -3.5152, 6.0886]],
  "species": ["Sm", "Sm", "Sm", "Si", "Si", "Si", "Ag", "Ag", "Ag"],
  "fractional_positions": [[0.0000, 0.4184, 0.4184], [0.0000, 0.5816, 0.0000], [0.0000, 0.0000, 0.5816], [0.5000, 0.3333, 0.6667], [0.5000, 0.6667, 0.3333], [0.0000, 0.0000, 0.0000], [0.5000, 0.7530, 0.7530], [0.5000, 0.0000, 0.2470], [0.5000, 0.2470, 0.0000]],
  "crystal_system": "hexagonal",
  "m_tot_mub_per_atom": 0.000,
  "raw_formation_energy_ev_per_atom": -0.612
}

No. 11
{
  "formula": "YCu2O4",
  "functional": "meta-GGA SCAN",
  "state": "PBEsol geometry",
  "lattice_angstrom": [[-5.5844, -0.3119, 0.2872], [2.5129, 0.0763, -5.6612], [0.1286, -4.8609, -2.7787]],
  "species": ["Y", "Y", "Cu", "Cu", "Cu", "Cu", "O", "O", "O", "O", "O", "O", "O", "O"],
  "fractional_positions": [[0.0000, 0.0000, 0.0000], [0.7500, 0.5000, 0.7500], [0.8750, 0.2500, 0.3750], [0.3750, 0.2500, 0.3750], [0.3750, 0.7500, 0.3750], [0.3750, 0.7500, 0.8750], [0.3440, 0.3956, 0.5943], [0.0516, 0.3956, 0.0101], [0.6984, 0.1044, 0.7399], [0.4060, 0.1044, 0.1557], [0.1557, 0.8956, 0.6984], [0.7399, 0.8956, 0.4060], [0.5943, 0.6044, 0.0516], [0.0101, 0.6044, 0.3440]],
  "crystal_system": "tetragonal",
  "m_tot_mub_per_atom": 0.143,
  "raw_formation_energy_ev_per_atom": -1.961
}

No. 12
{
  "formula": "SmIn5Rh",
  "functional": "meta-GGA SCAN",
  "state": "PBEsol geometry",
  "lattice_angstrom": [[4.5953, 0.0000, 0.0000], [0.0000, 4.5953, 0.0000], [0.0000, 0.0000, 7.4254]],
  "species": ["Rh", "Sm", "In", "In", "In", "In", "In"],
  "fractional_positions": [[0.0000, 0.0000, 0.5000], [0.0000, 0.0000, 0.0000], [0.5000, 0.5000, 0.0000], [0.5000, 0.0000, 0.6979], [0.0000, 0.5000, 0.3021], [0.5000, 0.0000, 0.3021], [0.0000, 0.5000, 0.6979]],
  "crystal_system": "tetragonal",
  "m_tot_mub_per_atom": 0.000,
  "delta_e_f_ev_per_atom": -0.56
}

No. 13
{
  "formula": "ReAg2Se",
  "functional": "meta-GGA SCAN",
  "state": "PBEsol geometry",
  "lattice_angstrom": [[2.6268, 0.0000, 0.0000], [0.0000, 5.1252, 0.0000], [0.0000, 0.0000, 5.1252]],
  "species": ["Ag", "Ag", "Re", "Se"],
  "fractional_positions": [[0.0000, 0.0000, 0.5000], [0.0000, 0.5000, 0.0000], [0.5000, 0.5000, 0.5000], [0.5000, 0.0000, 0.0000]],
  "crystal_system": "tetragonal",
  "m_tot_mub_per_atom": 0.223,
  "raw_formation_energy_ev_per_atom": 0.950
}

No. 14
{
  "formula": "Al3Mo5",
  "functional": "meta-GGA SCAN",
  "state": "PBEsol geometry",
  "lattice_angstrom": [[4.2163, 0.0000, 0.0000], [0.0000, 5.3789, -0.2016], [0.0000, -0.9379, 5.3004]],
  "species": ["Al", "Al", "Al", "Mo", "Mo", "Mo", "Mo", "Mo"],
  "fractional_positions": [[0.0000, 0.5000, 0.5000], [0.5000, 0.7540, 0.2460], [0.5000, 0.2460, 0.7540], [0.0000, 0.0000, 0.0000], [0.0000, 0.0000, 0.5000], [0.0000, 0.5000, 0.0000], [0.5000, 0.2567, 0.2567], [0.5000, 0.7433, 0.7433]],
  "crystal_system": "orthorhombic",
  "m_tot_mub_per_atom": 0.000,
  "delta_e_f_ev_per_atom": -0.01
}

No. 15
{
  "formula": "CsCuOs2N",
  "functional": "meta-GGA SCAN",
  "state": "PBEsol geometry",
  "lattice_angstrom": [[-0.1972, -0.8458, -4.0709], [-3.1754, -3.7084, 0.9243], [-3.8146, 3.1493, -0.4695]],
  "species": ["Cs", "Os", "Os", "Cu", "N"],
  "fractional_positions": [[0.0000, 0.0000, 0.0000], [0.0000, 0.0000, 0.5000], [0.0000, 0.5000, 0.0000], [0.5000, 0.5000, 0.5000], [0.5000, 0.0000, 0.0000]],
  "crystal_system": "tetragonal",
  "m_tot_mub_per_atom": 0.879,
  "raw_formation_energy_ev_per_atom": 4.051
}

No. 16
{
  "formula": "Li2CdSb2",
  "functional": "meta-GGA SCAN",
  "state": "PBEsol geometry",
  "lattice_angstrom": [[4.3931, 0.0000, 0.0000], [0.0000, 4.3931, 0.0000], [-2.1965, -2.1965, 5.8904]],
  "species": ["Sb", "Sb", "Li", "Li", "Cd"],
  "fractional_positions": [[0.3843, 0.3843, 0.7686], [0.6157, 0.6157, 0.2314], [0.2500, 0.7500, 0.5000], [0.7500, 0.2500, 0.5000], [0.0000, 0.0000, 0.0000]],
  "crystal_system": "tetragonal",
  "m_tot_mub_per_atom": 0.000,
  "raw_formation_energy_ev_per_atom": -0.150
}

No. 17
{
  "formula": "ScSnBC2",
  "functional": "meta-GGA SCAN",
  "state": "PBEsol geometry",
  "lattice_angstrom": [[-1.4757, -3.3814, 0.6158], [0.6825, 0.3686, 3.6591], [-3.9990, 1.8472, 0.5598]],
  "species": ["Sc", "C", "C", "B", "Sn"],
  "fractional_positions": [[0.0000, 0.0000, 0.5000], [0.0000, 0.5000, 0.0000], [0.5000, 0.0000, 0.0000], [0.0000, 0.0000, 0.0000], [0.5000, 0.5000, 0.5000]],
  "crystal_system": "tetragonal",
  "m_tot_mub_per_atom": 0.000,
  "delta_e_f_ev_per_atom": 1.64
}

No. 18
{
  "formula": "MnCdAu3",
  "functional": "meta-GGA SCAN",
  "state": "PBEsol geometry",
  "lattice_angstrom": [[-4.7578, 0.4332, 0.5916], [-0.2387, -4.5876, 1.4392], [0.6933, 1.3930, 4.5555]],
  "species": ["Mn", "Au", "Au", "Au", "Cd"],
  "fractional_positions": [[0.0000, 0.0000, 0.0000], [0.0000, 0.5000, 0.0000], [0.0000, 0.0000, 0.5000], [0.5000, 0.0000, 0.0000], [0.5000, 0.5000, 0.5000]],
  "crystal_system": "cubic",
  "m_tot_mub_per_atom": 0.885,
  "delta_e_f_ev_per_atom": 0.40
}

No. 19
{
  "formula": "Be2SiBr",
  "functional": "meta-GGA SCAN",
  "state": "PBEsol geometry",
  "lattice_angstrom": [[-0.5999, 4.8073, 2.1379], [-2.2665, -2.1780, 4.2615], [6.0242, -1.7326, -0.9716]],
  "species": ["Be", "Be", "Be", "Be", "Si", "Si", "Br", "Br"],
  "fractional_positions": [[0.3944, 0.8750, 0.2500], [0.8556, 0.3750, 0.2500], [0.1250, 0.1444, 0.7500], [0.6250, 0.6056, 0.7500], [0.7500, 0.2500, 0.5000], [0.5000, 0.5000, 0.0000], [0.2500, 0.7500, 0.5000], [0.0000, 0.0000, 0.0000]],
  "crystal_system": "tetragonal",
  "m_tot_mub_per_atom": 0.221,
  "raw_formation_energy_ev_per_atom": 0.279
}

No. 20
{
  "formula": "FeTc",
  "functional": "meta-GGA SCAN",
  "state": "PBEsol geometry",
  "lattice_angstrom": [[2.5985, 0.0000, 0.0000], [0.0000, 4.4496, 0.0005], [-1.2992, -2.1454, 4.1295]],
  "species": ["Tc", "Tc", "Fe", "Fe"],
  "fractional_positions": [[0.8817, 0.7096, 0.7634], [0.1183, 0.2904, 0.2366], [0.3699, 0.1998, 0.7399], [0.6301, 0.8002, 0.2601]],
  "crystal_system": "monoclinic",
  "m_tot_mub_per_atom": 0.001,
  "delta_e_f_ev_per_atom": 0.27
}

No. 21
{
  "formula": "TcRh",
  "functional": "meta-GGA SCAN",
  "state": "PBEsol geometry",
  "lattice_angstrom": [[2.6960, 0.0000, 0.0000], [-1.3480, 2.3348, 0.0000], [0.0000, 0.0000, 4.3180]],
  "species": ["Rh", "Tc"],
  "fractional_positions": [[0.6667, 0.3333, 0.5000], [0.0000, 0.0000, 0.0000]],
  "crystal_system": "hexagonal",
  "m_tot_mub_per_atom": 0.000,
  "delta_e_f_ev_per_atom": -0.13
}

No. 22
{
  "formula": "ScAl2Cl",
  "functional": "meta-GGA SCAN",
  "state": "PBEsol geometry",
  "lattice_angstrom": [[-0.0657, 2.6124, -1.6150], [-2.9782, 0.3406, 0.6720], [1.9689, 4.1453, 6.6253]],
  "species": ["Sc", "Al", "Al", "Cl"],
  "fractional_positions": [[0.5000, 0.5000, 0.5000], [0.0000, 0.0000, 0.7429], [0.0000, 0.0000, 0.2571], [0.5000, 0.5000, 0.0000]],
  "crystal_system": "tetragonal",
  "m_tot_mub_per_atom": 0.109,
  "raw_formation_energy_ev_per_atom": -0.190
}

No. 23
{
  "formula": "RuRhW2",
  "functional": "meta-GGA SCAN",
  "state": "PBEsol geometry",
  "lattice_angstrom": [[2.7477, 0.0000, 0.0000], [0.0000, 4.7150, 0.0011], [0.0000, -1.5014, 4.4695]],
  "species": ["Ru", "Rh", "W", "W"],
  "fractional_positions": [[0.5000, 0.5000, 0.5000], [0.5000, 0.0000, 0.0000], [0.0000, 0.5000, 0.0000], [0.0000, 0.0000, 0.5000]],
  "crystal_system": "orthorhombic",
  "m_tot_mub_per_atom": 0.000,
  "delta_e_f_ev_per_atom": -0.06
}